No. 1
Material: PuNi3Sn
Method: DFT, PBE
State: relaxed

Calculated values
- N(E_F): 2.1641 states/eV/atom
- Magnetization: 0.05 μB/cell
- Calculated formation energy: 0.447 eV per atom
- Raw total energy: -6.69 eV/atom

Structure (CIF):
```
data_PuNi3Sn
_cell_length_a 7.184
_cell_length_b 11.843
_cell_length_c 4.158
_cell_angle_alpha 90.00
_cell_angle_beta 90.00
_cell_angle_gamma 90.00
_symmetry_space_group_name_H-M 'C m c m'
_symmetry_Int_Tables_number 63
_symmetry_space_group_name_Hall '-C 2c 2'
loop_
_atom_site_label
_atom_site_type_symbol
_atom_site_fract_x
_atom_site_fract_y
_atom_site_fract_z
Pu1 Pu 0.000 0.048 0.250
Ni1 Ni 0.000 0.500 0.000
Ni2 Ni 0.162 0.174 0.750
Sn1 Sn 0.000 0.301 0.250
```

***

No. 2
Material: Pu2Ni2Sn3
Method: DFT, PBE
State: relaxed

Calculated values
- N(E_F): 3.1136 states/eV/atom
- Magnetization: 22.63 μB/cell
- Calculated formation energy: -0.256 eV per atom
- Raw total energy: -7.72 eV/atom

Structure (CIF):
```
data_Pu2Ni2Sn3
_cell_length_a 10.811
_cell_length_b 4.134
_cell_length_c 7.393
_cell_angle_alpha 90.00
_cell_angle_beta 115.57
_cell_angle_gamma 90.00
_symmetry_space_group_name_H-M 'C 1 2/m 1'
_symmetry_Int_Tables_number 12
loop_
_symmetry_equiv_pos_as_xyz
'x,y,z'
'-x,-y,-z'
'-x,y,-z'
'x,-y,z'
'x+1/2,y+1/2,z'
'-x+1/2,-y+1/2,-z'
'-x+1/2,y+1/2,-z'
'x+1/2,-y+1/2,z'
loop_
_atom_site_label
_atom_site_type_symbol
_atom_site_fract_x
_atom_site_fract_y
_atom_site_fract_z
Pu1 Pu 0.155 0.000 0.309
Ni1 Ni 0.141 0.000 0.728
Sn1 Sn 0.000 0.500 0.500
Sn2 Sn 0.124 0.500 0.954
```

***

No. 3
Material: Pu11Ni4Sn9
Method: DFT, PBE
State: relaxed

Calculated values
- N(E_F): 4.6335 states/eV/atom
- Magnetization: 32.15 μB/cell
- Calculated formation energy: -0.298 eV per atom
- Raw total energy: -9.33 eV/atom

Structure (CIF):
```
data_Pu11Ni4Sn9
_cell_length_a 13.390
_cell_length_b 20.072
_cell_length_c 4.204
_cell_angle_alpha 90.00
_cell_angle_beta 90.00
_cell_angle_gamma 90.00
_symmetry_space_group_name_H-M 'C m m m'
_symmetry_Int_Tables_number 65
_symmetry_space_group_name_Hall '-C 2 2'
loop_
_atom_site_label
_atom_site_type_symbol
_atom_site_fract_x
_atom_site_fract_y
_atom_site_fract_z
Pu1 Pu 0.000 0.000 0.000
Pu2 Pu 0.000 0.158 0.000
Pu3 Pu 0.000 0.371 0.000
Pu4 Pu 0.188 0.500 0.000
Pu5 Pu 0.244 0.172 0.000
Ni1 Ni 0.151 0.401 0.500
Sn1 Sn 0.000 0.500 0.500
Sn2 Sn 0.110 0.263 0.500
Sn3 Sn 0.146 0.075 0.500
```

***

No. 4
Material: PuNi2Sn4
Method: DFT, PBE
State: relaxed

Calculated values
- N(E_F): 1.8417 states/eV/atom
- Magnetization: 23.17 μB/cell
- Calculated formation energy: -0.274 eV per atom
- Raw total energy: -6.26 eV/atom

Structure (CIF):
```
data_PuNi2Sn4
_cell_length_a 18.613
_cell_length_b 4.425
_cell_length_c 7.051
_cell_angle_alpha 90.00
_cell_angle_beta 90.00
_cell_angle_gamma 90.00
_symmetry_space_group_name_H-M 'P n m a'
_symmetry_Int_Tables_number 62
loop_
_symmetry_equiv_pos_as_xyz
'x,y,z'
'-x,-y,-z'
'-x+1/2,-y,z+1/2'
'x+1/2,y,-z+1/2'
'x+1/2,-y+1/2,-z+1/2'
'-x+1/2,y+1/2,z+1/2'
'-x,y+1/2,-z'
'x,-y+1/2,z'
loop_
_atom_site_label
_atom_site_type_symbol
_atom_site_fract_x
_atom_site_fract_y
_atom_site_fract_z
Pu1 Pu 0.140 0.250 0.010
Ni1 Ni 0.035 0.750 0.748
Ni2 Ni 0.211 0.250 0.490
Sn1 Sn 0.029 0.750 0.137
Sn2 Sn 0.070 0.250 0.508
Sn3 Sn 0.180 0.750 0.711
Sn4 Sn 0.200 0.750 0.285
```

***

No. 5
Material: PuNi2Sn3
Method: DFT, PBE
State: relaxed

Calculated values
- N(E_F): 1.9496 states/eV/atom
- Magnetization: 31.56 μB/cell
- Calculated formation energy: -0.141 eV per atom
- Raw total energy: -6.46 eV/atom

Structure (CIF):
```
data_PuNi2Sn3
_cell_length_a 6.6669
_cell_length_b 6.6669
_cell_length_c 19.5732
_cell_angle_alpha 90.00
_cell_angle_beta 90.00
_cell_angle_gamma 120.00
_symmetry_space_group_name_H-M 'R -3 m'
_symmetry_Int_Tables_number 166
_symmetry_space_group_name_Hall '-R 3 2"'
loop_
_atom_site_label
_atom_site_type_symbol
_atom_site_fract_x
_atom_site_fract_y
_atom_site_fract_z
Pu1 Pu 0.0000 0.0000 0.2240
Ni1 Ni 0.0000 0.0000 0.0000
Ni2 Ni 0.0000 0.5000 0.0000
Sn1 Sn 0.0046 0.5023 0.2431
```

***

No. 6
Material: Pu2Ni4Sn3
Method: DFT, PBE
State: relaxed

Calculated values
- N(E_F): 2.6773 states/eV/atom
- Magnetization: 42.47 μB/cell
- Calculated formation energy: -0.268 eV per atom
- Raw total energy: -7.36 eV/atom

Structure (CIF):
```
data_Pu2Ni4Sn3
_cell_length_a 6.071
_cell_length_b 15.908
_cell_length_c 6.892
_cell_angle_alpha 90.00
_cell_angle_beta 90.00
_cell_angle_gamma 90.00
_symmetry_space_group_name_H-M 'C m c e'
_symmetry_Int_Tables_number 64
_symmetry_space_group_name_Hall '-C 2ac 2'
loop_
_atom_site_label
_atom_site_type_symbol
_atom_site_fract_x
_atom_site_fract_y
_atom_site_fract_z
Pu1 Pu 0.000 0.096 0.084
Ni1 Ni 0.000 0.164 0.492
Ni2 Ni 0.250 0.076 0.750
Sn1 Sn 0.000 0.000 0.500
Sn2 Sn 0.250 0.241 0.750
```

***

No. 7
Material: PuNiSn3
Method: DFT, PBE
State: relaxed

Calculated values
- N(E_F): 2.2906 states/eV/atom
- Magnetization: 23.38 μB/cell
- Calculated formation energy: -0.204 eV per atom
- Raw total energy: -6.63 eV/atom

Structure (CIF):
```
data_PuNiSn3
_cell_length_a 4.846
_cell_length_b 4.855
_cell_length_c 20.284
_cell_angle_alpha 90.00
_cell_angle_beta 90.00
_cell_angle_gamma 90.00
_symmetry_space_group_name_H-M 'I m m a'
_symmetry_Int_Tables_number 74
_symmetry_space_group_name_Hall '-I 2b 2'
loop_
_atom_site_label
_atom_site_type_symbol
_atom_site_fract_x
_atom_site_fract_y
_atom_site_fract_z
Pu1 Pu 0.000 0.250 0.079
Ni1 Ni 0.000 0.250 0.662
Sn1 Sn 0.000 0.250 0.304
Sn2 Sn 0.000 0.250 0.540
Sn3 Sn 0.000 0.250 0.802
```

***

No. 8
Material: PuTcNiSn
Method: DFT, PBE
State: relaxed

Calculated values
- N(E_F): 1.3085 states/eV/atom
- Magnetization: 16.81 μB/cell
- Calculated formation energy: -0.062 eV per atom
- Raw total energy: -8.68 eV/atom

Structure (CIF):
```
data_PuTcNiSn
_cell_length_a 6.589
_cell_length_b 6.589
_cell_length_c 6.589
_cell_angle_alpha 90.00
_cell_angle_beta 90.00
_cell_angle_gamma 90.00
_symmetry_space_group_name_H-M 'F -4 3 m'
_symmetry_Int_Tables_number 216
_symmetry_space_group_name_Hall 'F -4 2 3'
loop_
_atom_site_label
_atom_site_type_symbol
_atom_site_fract_x
_atom_site_fract_y
_atom_site_fract_z
Pu1 Pu 0.000 0.000 0.000
Tc1 Tc 0.250 0.250 0.750
Ni1 Ni 0.250 0.250 0.250
Sn1 Sn 0.000 0.000 0.500
```